1.
A plane-wave DFT calculation with PBE-GGA was carried out for a relaxed HfCuHg crystal.

Computed properties:
Its formation energy is 11 kJ/mol of formula units. The total moment is 0.01 μB per atom. The relative energy among the computed polymorphs is 27 meV/atom. As for the space-group type: I4mm, No. 107.

```
HfCuHg
1.0
-1.640 1.640 4.965
1.640 -1.640 4.965
1.640 1.640 -4.965
Hg Hf Cu
1 1 1
direct
0.680 0.680 0.000
0.989 0.989 0.000
0.331 0.331 0.000
```

2.
A plane-wave DFT calculation with PBE-GGA was carried out for a relaxed HfCuHg crystal.

Computed properties:
Its formation energy is 3 kJ/mol of formula units. The total moment is 0.00 μB per atom. The relative energy among the computed polymorphs is 0 meV/atom. As for the space-group type: P4/nmm, No. 129.

```
HfCuHg
1.0
-1.000 -3.075 0.592
1.030 0.264 3.111
-9.011 3.447 2.690
Cu Hf Hg
2 2 2
direct
0.000 0.500 0.441
0.500 0.000 0.559
0.500 0.000 0.291
0.000 0.500 0.709
0.500 0.000 0.901
0.000 0.500 0.099
```